The following is a DFT calculation (PBE-GGA) of a relaxed structure of TaGaP2O.

Results
The calculation puts the energy at -0.211 Ha/atom. For the raw formation energy, the calculation gives 1.99 eV per formula unit.

Cell lengths 4.7999, 4.7999, 3.4938 Å; angles 90.00, 90.00, 90.00 degrees
Last column: nearest neighbours and their distance in Å.
Space group P4/mmm (No. 123)
Asymmetric unit:
1 Ta 0.0000 0.0000 0.0000  8 P 2.97
2 Ga 0.5000 0.5000 0.5000  2 O 1.75
3 P 0.0000 0.5000 0.5000  2 Ga 2.40
4 O 0.5000 0.5000 0.0000  2 Ga 1.75